1.
Material: PtWBr
Method: DFT, PBE
State: optimized geometry

Output
The energy relative to the elements, uncorrected is 17.1 kcal/mol of atoms. The theoretical density is 12.90 g/cm3. As for the offset from the most stable computed form: 372 meV per atom.

Cell: 4.3718 4.3718 4.3718 Å, 60.00 60.00 60.00°
Sites, in units of the cell vectors:
W1 0.7500 0.7500 0.7500
Br1 0.0000 0.0000 0.0000
Pt1 0.5000 0.5000 0.5000



2.
Material: Pt3WBr
Method: DFT, PBE
State: optimized geometry

Output
The energy relative to the elements, uncorrected is 40.6 kcal/mol of atoms. The theoretical density is 13.69 g/cm3. As for the offset from the most stable computed form: 517 meV per atom.

Cell: 4.6871 4.6871 4.6871 Å, 90.00 90.00 90.00°
Sites, in units of the cell vectors:
Pt1 0.5000 0.0000 0.0000
Pt2 0.0000 0.5000 0.0000
Pt3 0.0000 0.0000 0.5000
W1 0.5000 0.5000 0.5000
Br1 0.0000 0.0000 0.0000



3.
Material: Pt2WBr
Method: DFT, PBE
State: optimized geometry

Output
The energy relative to the elements, uncorrected is 7.7 kcal/mol of atoms. The theoretical density is 14.89 g/cm3. As for the offset from the most stable computed form: 283 meV per atom.

Cell: 2.9654 2.9654 8.2910 Å, 90.00 90.00 90.00°
Sites, in units of the cell vectors:
Pt1 0.5000 0.5000 0.2803
Pt2 0.0000 0.0000 0.0457
Br1 0.5000 0.5000 0.6939
W1 0.0000 0.0000 0.4801